Record 1
The following is a DFT calculation (SCAN) of Li2LaRe at its PBEsol-relaxed geometry.

Calculated values
Fermi-level density of states = 3.82 states/eV per cell
Calculated formation energy = 649 meV/atom
ρ = 8.12 Mg/m³

Cell: 3.544 3.544 5.517 Å, 90.00 90.00 90.00°
Space group P4/mmm (No. 123)
Unique sites:
Li  0.000  0.000  0.193 x2
La  0.500  0.500  0.500 x1
Re  0.500  0.500  0.000 x1



Record 2
The following is a DFT calculation (SCAN) of LiLaRe2Rh at its PBEsol-relaxed geometry.

Calculated values
Fermi-level density of states = 4.78 states/eV per cell
Calculated formation energy = 2381 meV/atom
ρ = 10.75 Mg/m³

Cell: 4.738 4.738 4.273 Å, 90.00 90.00 90.00°
Space group P4/mmm (No. 123)
Unique sites:
Li  0.000  0.000  0.000 x1
La  0.000  0.000  0.500 x1
Re  0.000  0.500  0.500 x2
Rh  0.500  0.500  0.000 x1



Record 3
The following is a DFT calculation (SCAN) of LiLaRh2 at its PBEsol-relaxed geometry.

Calculated values
Fermi-level density of states = 1.75 states/eV per cell
Calculated formation energy = -433 meV/atom
ρ = 8.67 Mg/m³

Cell: 4.189 4.189 3.836 Å, 90.00 90.00 90.00°
Space group P4/mmm (No. 123)
Unique sites:
Li  0.000  0.000  0.000 x1
La  0.500  0.500  0.000 x1
Rh  0.000  0.500  0.500 x2



Record 4
The following is a DFT calculation (SCAN) of Li2LaRh at its PBEsol-relaxed geometry.

Calculated values
Fermi-level density of states = 1.16 states/eV per cell
Calculated formation energy = -327 meV/atom
ρ = 5.09 Mg/m³

Cell: 3.929 3.807 5.909 Å, 90.00 109.21 90.00°
Space group Pm (No. 6)
Unique sites:
Li  0.000  0.000  0.000 x1
Li  0.437  0.500  0.876 x1
La  0.714  0.000  0.431 x1
Rh  0.157  0.500  0.315 x1



Record 5
The following is a DFT calculation (SCAN) of Li2LaRh at its PBEsol-relaxed geometry.

Calculated values
Fermi-level density of states = 1.98 states/eV per cell
Calculated formation energy = -396 meV/atom
ρ = 5.77 Mg/m³

Cell: 3.967 3.967 9.345 Å, 90.00 90.00 90.00°
Space group I4/mmm (No. 139)
Unique sites:
Li  0.000  0.500  0.250 x4
La  0.000  0.000  0.000 x2
Rh  0.000  0.000  0.500 x2



Record 6
The following is a DFT calculation (SCAN) of Li2LaRh at its PBEsol-relaxed geometry.

Calculated values
Fermi-level density of states = 8.56 states/eV per cell
Calculated formation energy = -153 meV/atom
ρ = 6.21 Mg/m³

Cell: 6.491 6.491 6.491 Å, 90.00 90.00 90.00°
Space group Fm-3m (No. 225)
Unique sites:
Li  0.250  0.250  0.250 x8
La  0.000  0.000  0.000 x4
Rh  0.000  0.000  0.500 x4



Record 7
The following is a DFT calculation (SCAN) of LiLaRh at its PBEsol-relaxed geometry.

Calculated values
Fermi-level density of states = 2.14 states/eV per cell
Calculated formation energy = -388 meV/atom
ρ = 6.83 Mg/m³

Cell: 4.3506 4.3506 3.6871 Å, 90.00 90.00 120.00°
Space group P-6m2 (No. 187)
Unique sites:
Li  0.0000  0.0000  0.0000 x1
La  0.6667  0.3333  0.5000 x1
Rh  0.3333  0.6667  0.0000 x1



Record 8
The following is a DFT calculation (SCAN) of LiLa3Ru at its PBEsol-relaxed geometry.

Calculated values
Fermi-level density of states = 4.37 states/eV per cell
Calculated formation energy = -163 meV/atom
ρ = 5.27 Mg/m³

Cell: 5.489 5.489 5.489 Å, 90.00 90.00 90.00°
Space group Pm-3m (No. 221)
Unique sites:
Li  0.000  0.000  0.000 x1
La  0.000  0.500  0.500 x3
Ru  0.500  0.500  0.500 x1



Question: Which value of calculated formation energy does entry 7 give?
Answer: -388 meV/atom



Question: What is the formula in the seventh record?
Answer: LiLaRh



Question: What is the formula in the sixth record?
Answer: Li2LaRh



Question: Among the records above, which one has the highest ρ?
Answer: LiLaRe2Rh